The following is a GGA-PBE calculation of a relaxed structure of Nb3HgTe, from Alexandria via LeMat-Bulk.

VASP energy in eV per atom: -5.025
Fermi-level density of states in states/eV/f.u.: 9.1
Space-group type: Pm-3m (221)
Formation energy without anion corrections in eV per atom: 1.71
Energy above the lowest structure with this stoichiometry in meV/atom: 367

abc: 5.0889 5.0889 5.0889
angles: 90.00 90.00 90.00
Positions (direct):
Nb 0.0000 0.5000 0.0000
Nb 0.0000 0.0000 0.5000
Nb 0.5000 0.0000 0.0000
Te 0.5000 0.5000 0.5000
Hg 0.0000 0.0000 0.0000